The following is a GGA-PBE calculation of a relaxed Ir2W crystal, from the Alexandria database.

Cell lengths 2.767, 2.767, 6.812 Å; angles 90.00, 90.00, 120.00 degrees
Atoms (fractional coordinates):
Ir 0.333 0.667 0.175
Ir 0.667 0.333 0.825
W 0.000 0.000 0.500

Computed properties:
symmetry: P-3m1, No. 164
total energy: -10.362 eV/atom

The following is a GGA-PBE calculation of a relaxed NaInPd crystal, from the Alexandria database.

Cell lengths 4.639, 4.639, 4.639 Å; angles 60.00, 60.00, 60.00 degrees
Atoms (fractional coordinates):
Na 0.000 0.000 0.000
In 0.500 0.500 0.500
Pd 0.750 0.750 0.750

Computed properties:
symmetry: F-43m, No. 216
total energy: -3.282 eV/atom

The following is a GGA-PBE calculation of a relaxed LiLu2O crystal, from the Alexandria database.

Cell lengths 8.980, 8.980, 8.980 Å; angles 21.39, 21.39, 21.39 degrees
Atoms (fractional coordinates):
Li 0.000 0.000 0.000
Lu 0.116 0.116 0.116
Lu 0.884 0.884 0.884
O 0.500 0.500 0.500

Computed properties:
symmetry: R-3m, No. 166
energy relative to the elements, uncorrected: -4.6 eV/f.u.

The following is a GGA-PBE calculation of a relaxed Pm2Er5Tm12 crystal, from the Alexandria database.

Cell lengths 6.450, 8.737, 11.265 Å; angles 109.45, 93.20, 98.39 degrees
Atoms (fractional coordinates):
Pm 0.235 0.444 0.459
Pm 0.765 0.556 0.541
Er 0.013 0.385 0.719
Er 0.297 0.009 0.299
Er 0.500 0.000 0.000
Er 0.703 0.991 0.701
Er 0.987 0.615 0.281
Tm 0.019 0.201 0.136
Tm 0.173 0.876 0.580
Tm 0.208 0.173 0.863
Tm 0.278 0.599 0.041
Tm 0.448 0.655 0.772
Tm 0.469 0.257 0.630
Tm 0.531 0.743 0.370
Tm 0.552 0.345 0.228
Tm 0.722 0.401 0.959
Tm 0.792 0.827 0.137
Tm 0.827 0.124 0.420
Tm 0.981 0.799 0.864

Computed properties:
symmetry: P-1, No. 2
energy above the most stable polymorph in this dataset: 0 meV per atom

Number 1: total magnetization 0.00 μB per formula unit, D(E_F) 0.22 states/eV per atom. Number 2: total magnetization 0.00 μB per formula unit, D(E_F) 0.60 states/eV per atom. Number 3: total magnetization 0.00 μB per formula unit, D(E_F) 0.78 states/eV per atom. Number 4: total magnetization 0.00 μB per formula unit, D(E_F) 1.44 states/eV per atom.